# 1
Computed, not measured: a relaxed structure of ScZnAu at the GGA-PBE level of DFT.

Output
E_form = -0.1578 eV per atom
Crystal system = cubic
Final energy = -3.79 eV per atom

a b c (Å): 4.5242 4.5242 4.5242
angles (deg): 60.00 60.00 60.00
With the nearest neighbours (Å) after each atom.
Atoms (fractional coordinates):
1 Sc 0.0000 0.0000 0.0000  4 Au 2.77, 4 Zn 2.77
2 Zn 0.2500 0.2500 0.2500  4 Sc 2.77
3 Au 0.7500 0.7500 0.7500  4 Sc 2.77

***

# 2
Computed, not measured: a relaxed structure of ScZn5Au6 at the GGA-PBE level of DFT.

Output
E_form = -0.3278 eV per atom
Crystal system = monoclinic
Final energy = -3.02 eV per atom

a b c (Å): 4.5685 6.4540 7.2090
angles (deg): 90.00 108.25 90.00
With the nearest neighbours (Å) after each atom.
Atoms (fractional coordinates):
1 Sc 0.0000 0.0000 0.0000  8 Au 2.85-2.87, 4 Zn 3.16-3.17
2 Zn 0.0000 0.5000 0.0000  8 Au 2.75-2.86
3 Zn 0.3364 0.5000 0.6733  8 Au 2.71-2.80
4 Zn 0.3400 0.0000 0.6791  8 Au 2.78-2.81
5 Zn 0.6600 0.0000 0.3209  8 Au 2.78-2.81
6 Zn 0.6636 0.5000 0.3267  8 Au 2.71-2.80
7 Au 0.1725 0.2518 0.3458  7 Zn 2.76-2.86, 1 Sc 2.87
8 Au 0.1725 0.7482 0.3458  7 Zn 2.76-2.86, 1 Sc 2.87
9 Au 0.5000 0.2629 0.0000  6 Zn 2.71-2.78, 2 Sc 2.85
10 Au 0.5000 0.7371 0.0000  6 Zn 2.71-2.78, 2 Sc 2.85
11 Au 0.8275 0.2518 0.6542  7 Zn 2.76-2.86, 1 Sc 2.87
12 Au 0.8275 0.7482 0.6542  7 Zn 2.76-2.86, 1 Sc 2.87

***

# 3
Computed, not measured: a relaxed structure of Sc4ZnAu2 at the GGA-PBE level of DFT.

Output
E_form = -0.5235 eV per atom
Crystal system = trigonal
Final energy = -5.26 eV per atom

a b c (Å): 8.1490 8.1490 8.1490
angles (deg): 33.72 33.72 33.72
With the nearest neighbours (Å) after each atom.
Atoms (fractional coordinates):
1 Sc 0.1210 0.1210 0.1210  4 Au 2.86-2.94, 3 Zn 2.93
2 Sc 0.3727 0.3727 0.3727  4 Au 2.86-2.92, 1 Zn 2.93
3 Sc 0.6273 0.6273 0.6273  4 Au 2.86-2.92, 1 Zn 2.93
4 Sc 0.8790 0.8790 0.8790  4 Au 2.86-2.94, 3 Zn 2.93
5 Zn 0.5000 0.5000 0.5000  8 Sc 2.93
6 Au 0.2487 0.2487 0.2487  8 Sc 2.86-2.94
7 Au 0.7513 0.7513 0.7513  8 Sc 2.86-2.94

***

# 4
Computed, not measured: a relaxed structure of Sc6Zn5Au at the GGA-PBE level of DFT.

Output
E_form = -0.4525 eV per atom
Crystal system = orthorhombic
Final energy = -4.42 eV per atom

a b c (Å): 7.5193 7.5193 6.6999
angles (deg): 90.00 90.00 143.17
With the nearest neighbours (Å) after each atom.
Atoms (fractional coordinates):
1 Sc 0.0000 0.0000 0.2483  6 Zn 2.90-2.96, 2 Au 2.91
2 Sc 0.0000 0.0000 0.7517  6 Zn 2.90-2.96, 2 Au 2.91
3 Sc 0.3327 0.6673 0.2476  7 Zn 2.86-2.92, 1 Au 2.93
4 Sc 0.3327 0.6673 0.7524  7 Zn 2.86-2.92, 1 Au 2.93
5 Sc 0.6673 0.3327 0.2476  7 Zn 2.86-2.92, 1 Au 2.93
6 Sc 0.6673 0.3327 0.7524  7 Zn 2.86-2.92, 1 Au 2.93
7 Zn 0.1669 0.8331 0.0000  8 Sc 2.89-2.91
8 Zn 0.1708 0.8292 0.5000  8 Sc 2.86-2.96
9 Zn 0.5000 0.5000 0.0000  8 Sc 2.90-2.91
10 Zn 0.8292 0.1708 0.5000  8 Sc 2.86-2.96
11 Zn 0.8331 0.1669 0.0000  8 Sc 2.89-2.91
12 Au 0.5000 0.5000 0.5000  8 Sc 2.91-2.93

***

# 5
Computed, not measured: a relaxed structure of Sc3Zn2Au at the GGA-PBE level of DFT.

Output
E_form = -0.5271 eV per atom
Crystal system = trigonal
Final energy = -4.66 eV per atom
Offset from the most stable computed form = 0 meV/atom

a b c (Å): 4.7614 4.7614 5.8408
angles (deg): 90.00 90.00 120.00
With the nearest neighbours (Å) after each atom.
Atoms (fractional coordinates):
1 Sc 0.0000 0.0000 0.0000  6 Zn 2.89, 2 Au 2.92
2 Sc 0.3333 0.6667 0.6654  5 Zn 2.85-2.99, 3 Au 2.91
3 Sc 0.6667 0.3333 0.3346  5 Zn 2.85-2.99, 3 Au 2.91
4 Zn 0.3333 0.6667 0.1539  8 Sc 2.85-2.99
5 Zn 0.6667 0.3333 0.8461  8 Sc 2.85-2.99
6 Au 0.0000 0.0000 0.5000  8 Sc 2.91-2.92

***

# 6
Computed, not measured: a relaxed structure of ScZn4Au5 at the GGA-PBE level of DFT.

Output
E_form = -0.3452 eV per atom
Crystal system = tetragonal
Final energy = -3.13 eV per atom

a b c (Å): 3.2506 3.2506 16.0159
angles (deg): 90.00 90.00 90.00
With the nearest neighbours (Å) after each atom.
Atoms (fractional coordinates):
1 Sc 0.0000 0.0000 0.0000  8 Au 2.91, 4 Sc 3.25
2 Zn 0.0000 0.0000 0.2091  8 Au 2.78
3 Zn 0.0000 0.0000 0.4035  8 Au 2.77, 1 Zn 3.09
4 Zn 0.0000 0.0000 0.5965  8 Au 2.77, 1 Zn 3.09
5 Zn 0.0000 0.0000 0.7909  8 Au 2.78
6 Au 0.5000 0.5000 0.1116  4 Zn 2.78, 4 Sc 2.91
7 Au 0.5000 0.5000 0.3067  8 Zn 2.77-2.78, 1 Au 3.10
8 Au 0.5000 0.5000 0.5000  8 Zn 2.77, 2 Au 3.10
9 Au 0.5000 0.5000 0.6933  8 Zn 2.77-2.78, 1 Au 3.10
10 Au 0.5000 0.5000 0.8884  4 Zn 2.78, 4 Sc 2.91

***

# 7
Computed, not measured: a relaxed structure of Sc2ZnAu8 at the GGA-PBE level of DFT.

Output
E_form = -0.4687 eV per atom
Crystal system = monoclinic
Final energy = -4.12 eV per atom

a b c (Å): 7.7583 7.7583 4.7415
angles (deg): 107.37 107.37 49.10
With the nearest neighbours (Å) after each atom.
Atoms (fractional coordinates):
1 Sc 0.1963 0.1963 0.1963  10 Au 2.88-3.00
2 Sc 0.8037 0.8037 0.8037  10 Au 2.88-3.00
3 Zn 0.5000 0.5000 0.5000  4 Au 2.54
4 Au 0.0864 0.6439 0.3641  1 Zn 2.54
5 Au 0.2260 0.7740 0.0000  7 Au 2.91-2.99, 2 Zn 2.96, 2 Sc 3.00
6 Au 0.3257 0.3257 0.8236  8 Au 2.92-3.03, 4 Sc 2.93-3.24
7 Au 0.3561 0.9136 0.6359  1 Zn 2.54
8 Au 0.6439 0.0864 0.3641  1 Zn 2.54
9 Au 0.6743 0.6743 0.1764  8 Au 2.92-3.03, 4 Sc 2.93-3.24
10 Au 0.7740 0.2260 0.0000  7 Au 2.91-2.99, 2 Zn 2.96, 2 Sc 3.00
11 Au 0.9136 0.3561 0.6359  1 Zn 2.54

***

# 8
Computed, not measured: a relaxed structure of ScZn3Au2 at the GGA-PBE level of DFT.

Output
E_form = -0.3814 eV per atom
Crystal system = monoclinic
Final energy = -3.17 eV per atom

a b c (Å): 7.2015 7.2015 8.4832
angles (deg): 120.96 120.96 34.39
With the nearest neighbours (Å) after each atom.
Atoms (fractional coordinates):
1 Sc 0.1288 0.1288 0.0135  7 Au 2.90-3.11, 5 Zn 2.92-3.06
2 Sc 0.8712 0.8712 0.9865  7 Au 2.90-3.11, 5 Zn 2.92-3.06
3 Zn 0.0459 0.0459 0.3877  3 Au 2.72-2.75, 6 Zn 2.77-3.02, 1 Sc 2.92
4 Zn 0.2697 0.2697 0.4287  4 Zn 2.65-2.91, 3 Au 2.72
5 Zn 0.3931 0.3931 0.2470  3 Au 2.59, 3 Zn 2.77-2.84
6 Zn 0.6069 0.6069 0.7530  3 Au 2.59, 3 Zn 2.77-2.84
7 Zn 0.7303 0.7303 0.5713  4 Zn 2.65-2.91, 3 Au 2.72
8 Zn 0.9541 0.9541 0.6123  3 Au 2.72-2.75, 6 Zn 2.77-3.02, 1 Sc 2.92
9 Au 0.2149 0.2149 0.7573  5 Zn 2.59-2.72, 1 Au 2.86
10 Au 0.4358 0.4358 0.8001  4 Zn 2.59-2.75, 2 Au 2.86
11 Au 0.5642 0.5642 0.1999  4 Zn 2.59-2.75, 2 Au 2.86
12 Au 0.7851 0.7851 0.2427  5 Zn 2.59-2.72, 1 Au 2.86

***

# 9
Computed, not measured: a relaxed structure of ScZn3Au3 at the GGA-PBE level of DFT.

Output
E_form = 0.2368 eV per atom
Crystal system = cubic
Final energy = -2.62 eV per atom

a b c (Å): 6.9766 6.9766 6.9766
angles (deg): 90.00 90.00 90.00
With the nearest neighbours (Å) after each atom.
Atoms (fractional coordinates):
1 Sc 0.0000 0.0000 0.0000  12 Zn 3.90, 12 Au 3.90
2 Sc 0.5000 0.5000 0.5000  12 Zn 3.90, 12 Au 3.90
3 Zn 0.0000 0.2500 0.5000  4 Au 2.47
4 Zn 0.0000 0.7500 0.5000  4 Au 2.47
5 Zn 0.2500 0.5000 0.0000  4 Au 2.47
6 Zn 0.5000 0.0000 0.2500  4 Au 2.47
7 Zn 0.5000 0.0000 0.7500  4 Au 2.47
8 Zn 0.7500 0.5000 0.0000  4 Au 2.47
9 Au 0.0000 0.5000 0.2500  4 Zn 2.47
10 Au 0.0000 0.5000 0.7500  4 Zn 2.47
11 Au 0.2500 0.0000 0.5000  4 Zn 2.47
12 Au 0.5000 0.2500 0.0000  4 Zn 2.47
13 Au 0.5000 0.7500 0.0000  4 Zn 2.47
14 Au 0.7500 0.0000 0.5000  4 Zn 2.47

***

# 10
Computed, not measured: a relaxed structure of ScZn2Au at the GGA-PBE level of DFT.

Output
E_form = -0.1429 eV per atom
Crystal system = trigonal
Final energy = -3.18 eV per atom

a b c (Å): 8.3804 8.3804 8.3804
angles (deg): 22.56 22.56 22.56
With the nearest neighbours (Å) after each atom.
Atoms (fractional coordinates):
1 Sc 0.0000 0.0000 0.0000  6 Zn 2.88
2 Zn 0.2445 0.2445 0.2445  3 Au 2.69, 3 Sc 2.88
3 Zn 0.7555 0.7555 0.7555  3 Au 2.69, 3 Sc 2.88
4 Au 0.5000 0.5000 0.5000  6 Zn 2.69

***

# 11
Computed, not measured: a relaxed structure of Sc2Zn5Au3 at the GGA-PBE level of DFT.

Output
E_form = -0.4142 eV per atom
Crystal system = orthorhombic
Final energy = -3.30 eV per atom
Offset from the most stable computed form = 0 meV/atom

a b c (Å): 12.4814 12.4814 6.5461
angles (deg): 90.00 90.00 159.53
With the nearest neighbours (Å) after each atom.
Atoms (fractional coordinates):
1 Sc 0.0231 0.9769 0.5000  5 Au 2.86-2.98, 4 Zn 2.97-3.19
2 Sc 0.3044 0.6956 0.2819  7 Zn 2.86-3.03, 5 Au 2.90-3.19
3 Sc 0.6956 0.3044 0.7819  7 Zn 2.86-3.03, 5 Au 2.90-3.19
4 Sc 0.9769 0.0231 0.0000  5 Au 2.86-2.98, 4 Zn 2.97-3.19
5 Zn 0.0950 0.9050 0.1343  1 Zn 2.62, 3 Au 2.63-2.69
6 Zn 0.1966 0.8034 0.4674  4 Au 2.61-2.75, 3 Zn 2.68-2.88, 1 Sc 2.91
7 Zn 0.1995 0.8005 0.0577  2 Zn 2.62-2.68, 4 Au 2.64-2.84, 2 Sc 2.86
8 Zn 0.3776 0.6224 0.9400  2 Au 2.61-2.74, 3 Zn 2.82-2.88, 1 Sc 2.87
9 Zn 0.4348 0.5652 0.3134  4 Au 2.59-2.67, 1 Zn 2.82
10 Zn 0.5652 0.4348 0.8134  4 Au 2.59-2.67, 1 Zn 2.82
11 Zn 0.6224 0.3776 0.4400  2 Au 2.61-2.74, 3 Zn 2.82-2.88, 1 Sc 2.87
12 Zn 0.8005 0.1995 0.5577  2 Zn 2.62-2.68, 4 Au 2.64-2.84, 2 Sc 2.86
13 Zn 0.8034 0.1966 0.9674  4 Au 2.61-2.75, 3 Zn 2.68-2.88, 1 Sc 2.91
14 Zn 0.9050 0.0950 0.6343  1 Zn 2.62, 3 Au 2.63-2.69
15 Au 0.1200 0.8800 0.7435  5 Zn 2.61-2.84, 3 Sc 2.86-2.90
16 Au 0.2773 0.7227 0.7585  7 Zn 2.64-2.75
17 Au 0.4637 0.5363 0.7069  5 Zn 2.59-2.69
18 Au 0.5363 0.4637 0.2069  5 Zn 2.59-2.69
19 Au 0.7227 0.2773 0.2585  7 Zn 2.64-2.75
20 Au 0.8800 0.1200 0.2435  5 Zn 2.61-2.84, 3 Sc 2.86-2.90